Density functional theory data (PBE) for a relaxed CsSr2InPd crystal.

a = 6.0647 Å, b = 6.0647 Å, c = 5.4265 Å
α = 90.00°, β = 90.00°, γ = 90.00°
With the nearest neighbours (Å) after each atom.
Space group P4/mmm (No. 123)
Unique sites:
Cs (0.0000, 0.0000, 0.0000) [1 per cell]  8 Sr 4.07, 4 In 4.29
Sr (0.0000, 0.5000, 0.5000) [2 per cell]  2 Pd 3.03
In (0.5000, 0.5000, 0.0000) [1 per cell]  2 Pd 2.71
Pd (0.5000, 0.5000, 0.5000) [1 per cell]  2 In 2.71, 4 Sr 3.03

Computed properties:
Raw total energy: -2.67 eV per atom
Magnetic moment: 0.104 μB/atom
Formation enthalpy at 0 K: -115 kJ/mol of formula units

---

Density functional theory data (PBE) for a relaxed CsZn2InPd crystal.

a = 5.1451 Å, b = 5.1451 Å, c = 5.2420 Å
α = 90.00°, β = 90.00°, γ = 90.00°
With the nearest neighbours (Å) after each atom.
Space group P4/mmm (No. 123)
Unique sites:
Cs (0.0000, 0.0000, 0.0000) [1 per cell]  4 In 3.64, 8 Zn 3.67
Zn (0.0000, 0.5000, 0.5000) [2 per cell]  2 Pd 2.57
In (0.5000, 0.5000, 0.0000) [1 per cell]  2 Pd 2.62
Pd (0.5000, 0.5000, 0.5000) [1 per cell]  4 Zn 2.57, 2 In 2.62

Computed properties:
Raw total energy: -2.39 eV per atom
Magnetic moment: 0.000 μB/atom
Formation enthalpy at 0 K: -58 kJ/mol of formula units

---

Density functional theory data (PBE) for a relaxed Cs3Pm3InS8 crystal.

a = 8.2561 Å, b = 8.2561 Å, c = 24.6929 Å
α = 90.00°, β = 90.00°, γ = 120.00°
With the nearest neighbours (Å) after each atom.
Space group R-3m (No. 166, hexagonal axes)
Unique sites:
Cs (0.0000, 0.5000, 0.0000) [9 per cell]  6 S 3.52-3.53
Pm (0.0000, 0.5000, 0.5000) [9 per cell]  6 S 2.83-2.84
In (0.0000, 0.0000, 0.5000) [3 per cell]  6 S 2.72
S (0.0000, 0.0000, 0.2283) [6 per cell]  3 Pm 2.83
S (0.0135, 0.5067, 0.2262) [18 per cell]  1 In 2.72, 2 Pm 2.84

Computed properties:
Raw total energy: -4.97 eV per atom
Magnetic moment: 0.000 μB/atom